Material: Rb4Sn2Au7
Method: DFT, PBE
State: optimized geometry

a b c (Å): 6.9394 6.9394 29.5520
angles (deg): 90.00 90.00 120.00
Space group R-3m (No. 166, hexagonal axes)
Symmetry-distinct sites (fractional):
Rb1 0.0000 0.0000 0.1836
Rb2 0.0000 0.0000 0.3123
Sn1 0.0000 0.0000 0.0498
Au1 0.0000 0.0000 0.5000
Au2 0.0625 0.5312 0.2442

Magnetization: 0.00 μB per atom
Calculated formation energy: -0.35 eV per atom
Total energy: -3.033 eV per atom

Material: ScTa2Rh
Method: DFT, PBE
State: optimized geometry

a b c (Å): 6.540 6.540 6.540
angles (deg): 90.00 90.00 90.00
Space group F-43m (No. 216)
Symmetry-distinct sites (fractional):
Sc1 0.000 0.000 0.000
Ta1 0.000 0.000 0.500
Ta2 0.250 0.250 0.250
Rh1 0.250 0.250 0.750

ΔE to the lowest computed polymorph: 0.85 eV/f.u.
Magnetization: 0.00 μB per atom
Calculated formation energy: -0.14 eV per atom
Total energy: -9.491 eV per atom

Material: MnCuW2
Method: DFT, PBE
State: optimized geometry

a b c (Å): 2.646 3.957 5.501
angles (deg): 90.00 90.00 90.00
Space group Pmm2 (No. 25)
Symmetry-distinct sites (fractional):
Mn1 0.000 0.000 0.000
Cu1 0.500 0.500 0.771
W1 0.000 0.000 0.525
W2 0.500 0.500 0.252

ΔE to the lowest computed polymorph: 0.38 eV/f.u.
Magnetization: 0.57 μB per atom
Calculated formation energy: 0.33 eV per atom
Total energy: -9.461 eV per atom

Number 1: DOS(E_F) 7.43 states/eV per cell. Number 2: DOS(E_F) 23.09 states/eV per cell. Number 3: DOS(E_F) 3.69 states/eV per cell.